KNaB2Pt6 PBE relaxed; calculated total energy = -5.5797 eV/atom; space group = No. 191
1.0
5.677 0.000 0.000
-2.839 4.916 0.000
0.000 0.000 5.579
Pt B Na K
6 2 1 1
Direct
0.000 0.500 0.758
0.500 0.000 0.758
0.500 0.000 0.242
0.000 0.500 0.242
0.500 0.500 0.242
0.500 0.500 0.758
0.333 0.667 0.500
0.667 0.333 0.500
0.000 0.000 0.000
0.000 0.000 0.500

KNbB4 PBE relaxed; calculated total energy = -6.5693 eV/atom; space group = No. 191
1.0
-1.335 2.372 -1.444
-1.419 -1.352 2.378
3.757 5.322 5.267
B K Nb
4 1 1
Direct
0.333 0.667 0.801
0.667 0.333 0.801
0.333 0.667 0.199
0.667 0.333 0.199
0.000 0.000 0.500
0.000 0.000 0.000

KNbB4 PBE relaxed; calculated total energy = -5.9925 eV/atom; space group = No. 71
1.0
-1.583 1.427 4.485
-4.055 2.508 -1.385
2.040 -4.519 0.271
Nb B K
1 4 1
Direct
0.000 0.000 0.000
0.589 0.264 0.326
0.938 0.264 0.674
0.062 0.736 0.326
0.411 0.736 0.674
0.500 0.500 0.000

K3Nb3B2O12 PBE relaxed; calculated total energy = -7.7767 eV/atom; space group = No. 189
1.0
8.853 0.000 0.000
-4.427 7.667 0.000
0.000 0.000 3.929
Nb O K B
3 12 3 2
Direct
0.752 0.000 0.000
0.248 0.248 0.000
0.000 0.752 0.000
0.683 0.188 0.000
0.000 0.734 0.500
0.819 0.819 0.000
0.734 0.000 0.500
0.495 0.812 0.000
0.181 0.000 0.000
0.812 0.495 0.000
0.505 0.317 0.000
0.266 0.266 0.500
0.000 0.181 0.000
0.188 0.683 0.000
0.317 0.505 0.000
0.404 0.000 0.500
0.596 0.596 0.500
0.000 0.404 0.500
0.667 0.333 0.000
0.333 0.667 0.000

K3Nb3B2O12 PBE relaxed; calculated total energy = -7.7797 eV/atom; space group = No. 26
1.0
-10.213 8.950 -7.082
-2.324 -0.114 3.207
8.125 14.332 6.396
B O Nb K
8 48 12 12
Direct
0.333 0.008 0.283
0.167 0.997 0.033
0.667 0.008 0.283
0.833 0.003 0.533
0.333 0.992 0.783
0.833 0.997 0.033
0.667 0.992 0.783
0.167 0.003 0.533
0.368 0.501 0.467
0.909 0.012 0.328
0.752 0.994 0.000
0.132 0.512 0.217
0.752 0.006 0.500
0.593 0.998 0.239
0.409 0.004 0.578
0.409 0.996 0.078
0.659 0.007 0.360
0.159 0.979 0.610
0.500 0.999 0.442
0.341 0.007 0.360
0.159 0.021 0.110
0.000 0.011 0.192
0.093 0.976 0.989
0.368 0.499 0.967
0.500 0.507 0.664
0.132 0.488 0.717
0.907 0.024 0.489
0.093 0.024 0.489
0.000 0.989 0.692
0.591 0.004 0.578
0.659 0.993 0.860
0.252 0.981 0.750
0.341 0.993 0.860
0.091 0.988 0.828
0.252 0.019 0.250
0.632 0.501 0.467
0.868 0.512 0.217
0.841 0.021 0.110
0.248 0.006 0.500
0.748 0.981 0.750
0.591 0.996 0.078
0.407 0.998 0.239
0.748 0.019 0.250
0.500 0.001 0.942
0.909 0.988 0.828
0.500 0.493 0.164
0.593 0.002 0.739
0.907 0.976 0.989
0.868 0.488 0.717
0.632 0.499 0.967
0.000 0.485 0.915
0.248 0.994 0.000
0.407 0.002 0.739
0.000 0.515 0.415
0.091 0.012 0.328
0.841 0.979 0.610
0.124 0.984 0.221
0.500 0.035 0.656
0.000 0.986 0.407
0.876 0.984 0.221
0.376 0.972 0.471
0.624 0.972 0.471
0.124 0.016 0.721
0.376 0.028 0.971
0.876 0.016 0.721
0.624 0.028 0.971
0.000 0.014 0.907
0.500 0.965 0.156
0.702 0.498 0.134
0.202 0.506 0.884
0.298 0.498 0.134
0.000 0.506 0.581
0.500 0.513 0.831
0.798 0.506 0.884
0.702 0.502 0.634
0.500 0.487 0.331
0.202 0.494 0.384
0.298 0.502 0.634
0.798 0.494 0.384
0.000 0.494 0.081

KNiB PBE relaxed; calculated total energy = -2.8540 eV/atom; space group = No. 216
1.0
0.000 3.019 3.019
3.019 0.000 3.019
3.019 3.019 0.000
Ni K B
1 1 1
Direct
0.000 0.000 0.000
0.750 0.750 0.750
0.250 0.250 0.250

KNiB PBE relaxed; calculated total energy = -2.8677 eV/atom; space group = No. 216
1.0
-4.027 -0.202 1.499
-2.205 3.620 0.737
-3.299 1.066 -2.547
B K Ni
1 1 1
Direct
0.000 0.000 0.000
0.250 0.250 0.250
0.750 0.750 0.750

KNiB PBE relaxed; calculated total energy = -2.1318 eV/atom; space group = No. 216
1.0
0.000 3.301 3.301
3.301 0.000 3.301
3.301 3.301 0.000
Ni B K
1 1 1
Direct
0.750 0.750 0.750
0.250 0.250 0.250
0.000 0.000 0.000

KNpB PBE relaxed; calculated total energy = -5.3815 eV/atom; space group = No. 216
1.0
2.523 2.391 3.071
-1.262 0.100 4.462
2.526 -2.246 3.176
B K Np
1 1 1
Direct
0.000 0.000 0.000
0.250 0.250 0.250
0.750 0.750 0.750

KZnBP2O8 PBE relaxed; calculated total energy = -6.7870 eV/atom; space group = No. 15
1.0
-0.654 -8.302 0.763
-5.093 1.188 7.161
-7.078 0.195 -5.338
O Zn P K B
32 4 8 4 4
Direct
0.487 0.416 0.823
0.513 0.584 0.177
0.572 0.329 0.081
0.410 0.105 0.277
0.987 0.466 0.805
0.028 0.665 0.615
0.487 0.805 0.466
0.239 0.273 0.448
0.037 0.108 0.852
0.223 0.982 0.659
0.472 0.385 0.335
0.072 0.081 0.329
0.090 0.723 0.895
0.910 0.277 0.105
0.928 0.919 0.671
0.277 0.341 0.018
0.777 0.018 0.341
0.739 0.448 0.273
0.528 0.615 0.665
0.972 0.335 0.385
0.261 0.552 0.727
0.963 0.892 0.148
0.463 0.148 0.892
0.513 0.195 0.534
0.013 0.534 0.195
0.723 0.659 0.982
0.761 0.727 0.552
0.537 0.852 0.108
0.590 0.895 0.723
0.013 0.177 0.584
0.987 0.823 0.416
0.428 0.671 0.919
0.439 0.060 0.688
0.939 0.688 0.060
0.061 0.312 0.940
0.561 0.940 0.312
0.941 0.954 0.308
0.059 0.046 0.692
0.910 0.396 0.231
0.410 0.231 0.396
0.590 0.769 0.604
0.559 0.692 0.046
0.090 0.604 0.769
0.441 0.308 0.954
0.750 0.035 0.965
0.250 0.604 0.396
0.250 0.965 0.035
0.750 0.396 0.604
0.575 0.433 0.211
0.425 0.567 0.789
0.925 0.789 0.567
0.075 0.211 0.433

K2Pr2B2O7 PBE relaxed; calculated total energy = -7.3194 eV/atom; space group = No. 14
1.0
-1.369 -11.167 1.212
6.443 -0.905 -1.061
2.242 5.627 8.811
O Pr B K
28 8 8 8
Direct
0.149 0.535 0.586
0.380 0.851 0.537
0.380 0.649 0.037
0.834 0.260 0.138
0.302 0.249 0.141
0.867 0.745 0.787
0.972 0.877 0.597
0.698 0.749 0.359
0.972 0.623 0.097
0.620 0.149 0.463
0.133 0.245 0.713
0.149 0.965 0.086
0.028 0.377 0.903
0.620 0.351 0.963
0.133 0.255 0.213
0.358 0.650 0.336
0.166 0.760 0.362
0.358 0.850 0.836
0.302 0.251 0.641
0.642 0.350 0.664
0.698 0.751 0.859
0.834 0.240 0.638
0.642 0.150 0.164
0.851 0.465 0.414
0.166 0.740 0.862
0.028 0.123 0.403
0.851 0.035 0.914
0.867 0.755 0.287
0.982 0.541 0.680
0.822 0.417 0.915
0.178 0.583 0.085
0.178 0.917 0.585
0.982 0.959 0.180
0.822 0.083 0.415
0.018 0.041 0.820
0.018 0.459 0.320
0.695 0.253 0.088
0.305 0.753 0.412
0.804 0.656 0.355
0.196 0.344 0.645
0.695 0.247 0.588
0.305 0.747 0.912
0.196 0.156 0.145
0.804 0.844 0.855
0.467 0.938 0.235
0.533 0.062 0.765
0.533 0.438 0.265
0.381 0.244 0.944
0.619 0.756 0.056
0.381 0.256 0.444
0.619 0.744 0.556
0.467 0.562 0.735

K3SmB2O6 PBE relaxed; calculated total energy = -6.7258 eV/atom; space group = No. 62
1.0
-1.741 7.380 -4.792
2.898 -3.039 -5.734
-9.889 -4.150 -2.798
O K B Sm
24 12 8 4
Direct
0.490 0.250 0.490
0.881 0.250 0.741
0.870 0.081 0.172
0.408 0.750 0.112
0.510 0.750 0.510
0.660 0.750 0.030
0.592 0.250 0.888
0.340 0.250 0.970
0.130 0.919 0.828
0.840 0.250 0.530
0.160 0.750 0.470
0.119 0.750 0.259
0.619 0.750 0.241
0.630 0.581 0.672
0.370 0.081 0.328
0.990 0.250 0.010
0.130 0.581 0.828
0.630 0.919 0.672
0.370 0.419 0.328
0.381 0.250 0.759
0.010 0.750 0.990
0.908 0.750 0.388
0.870 0.419 0.172
0.092 0.250 0.612
0.302 0.505 0.598
0.562 0.250 0.133
0.938 0.750 0.633
0.802 0.505 0.902
0.198 0.005 0.098
0.698 0.495 0.402
0.438 0.750 0.867
0.302 0.995 0.598
0.802 0.995 0.902
0.198 0.495 0.098
0.698 0.005 0.402
0.062 0.250 0.367
0.060 0.750 0.377
0.940 0.250 0.623
0.091 0.750 0.882
0.909 0.250 0.118
0.591 0.750 0.618
0.409 0.250 0.382
0.560 0.750 0.123
0.440 0.250 0.877
0.127 0.250 0.830
0.627 0.250 0.670
0.373 0.750 0.330
0.873 0.750 0.170

KTaB2O6 PBE relaxed; calculated total energy = -8.1799 eV/atom; space group = No. 31
1.0
-1.675 -0.663 -7.128
-1.287 -3.607 0.638
-8.422 3.301 1.672
O K B Ta
12 2 4 2
Direct
0.192 0.820 0.609
0.000 0.320 0.758
0.312 0.153 0.416
0.688 0.153 0.416
0.188 0.847 0.916
0.500 0.969 0.618
0.812 0.847 0.916
0.000 0.031 0.118
0.692 0.180 0.109
0.500 0.680 0.258
0.808 0.820 0.609
0.308 0.180 0.109
0.500 0.461 0.858
0.000 0.539 0.358
0.668 0.988 0.545
0.832 0.012 0.045
0.332 0.988 0.545
0.168 0.012 0.045
0.000 0.798 0.756
0.500 0.202 0.256